(1)
First-principles (PBE) data for Li15Al2Tl2 after structural relaxation, as listed in Alexandria via LeMat-Bulk.

Computed properties:
**Space group**: R-3m
**Theoretical density**: 2.78 g/cm3

a b c (Å): 7.1844 7.1844 7.1844
angles (deg): 75.13 75.13 75.13
Last column: nearest neighbours and their distance in Å.
Fractional positions:
Li 0.0000 0.0000 0.5000  8 Li 2.71-2.87, 2 Al 2.77
Li 0.0000 0.2869 0.7131  4 Li 2.51-2.62
Li 0.0000 0.5000 0.0000  8 Li 2.71-2.87, 2 Al 2.77
Li 0.0000 0.7131 0.2869  4 Li 2.51-2.62
Li 0.1401 0.6098 0.6098  6 Li 2.62-2.77
Li 0.2869 0.0000 0.7131  4 Li 2.51-2.62
Li 0.2869 0.7131 0.0000  4 Li 2.51-2.62
Li 0.3902 0.3902 0.8599  6 Li 2.62-2.77
Li 0.3902 0.8599 0.3902  6 Li 2.62-2.77
Li 0.5000 0.0000 0.0000  8 Li 2.71-2.87, 2 Al 2.77
Li 0.6098 0.1401 0.6098  6 Li 2.62-2.77
Li 0.6098 0.6098 0.1401  6 Li 2.62-2.77
Li 0.7131 0.0000 0.2869  4 Li 2.51-2.62
Li 0.7131 0.2869 0.0000  4 Li 2.51-2.62
Li 0.8599 0.3902 0.3902  6 Li 2.62-2.77
Al 0.0930 0.0930 0.0930  9 Li 2.77-2.89, 1 Al 2.85
Al 0.9070 0.9070 0.9070  9 Li 2.77-2.89, 1 Al 2.85
Tl 0.3140 0.3140 0.3140  15 Li 3.09-3.39, 1 Al 3.38
Tl 0.6860 0.6860 0.6860  15 Li 3.09-3.39, 1 Al 3.38

***

(2)
First-principles (PBE) data for LiAlTl2 after structural relaxation, as listed in Alexandria via LeMat-Bulk.

Computed properties:
**Space group**: R3m
**Theoretical density**: 7.70 g/cm3

a b c (Å): 8.9998 8.9998 8.9998
angles (deg): 22.72 22.72 22.72
Last column: nearest neighbours and their distance in Å.
Fractional positions:
Li 0.0000 0.0000 0.0000  6 Tl 3.00-3.02
Al 0.8340 0.8340 0.8340  6 Tl 2.98-2.99
Tl 0.4177 0.4177 0.4177  3 Al 2.99, 3 Li 3.02
Tl 0.5831 0.5831 0.5831  3 Al 2.98, 3 Li 3.00

***

(3)
First-principles (PBE) data for LiAl2Tl after structural relaxation, as listed in Alexandria via LeMat-Bulk.

Computed properties:
**Space group**: I-42d
**Theoretical density**: 5.02 g/cm3

a b c (Å): 6.2854 6.2854 6.2854
angles (deg): 101.03 101.03 128.12
Last column: nearest neighbours and their distance in Å.
Fractional positions:
Li 0.0000 0.0000 0.0000  2 Tl 2.75, 4 Al 2.90
Li 0.7500 0.2500 0.5000  2 Tl 2.75, 4 Al 2.90
Al 0.1233 0.6250 0.9983  2 Al 2.75, 2 Li 2.90, 2 Tl 2.92
Al 0.3750 0.3733 0.4983  2 Al 2.75, 2 Li 2.90, 2 Tl 2.92
Al 0.6267 0.1250 0.0017  2 Al 2.75, 2 Li 2.90, 2 Tl 2.92
Al 0.8750 0.8767 0.5017  2 Al 2.75, 2 Li 2.90, 2 Tl 2.92
Tl 0.2500 0.7500 0.5000  2 Li 2.75, 4 Al 2.92
Tl 0.5000 0.5000 0.0000  2 Li 2.75, 4 Al 2.92

***

Taking the records one at a time from the top gives calculated formation energy values of -0.04; 0.05; 0.26 eV per atom.
Taking the records one at a time from the top gives M_tot values of 0.00; 0.00; 0.00 μB/cell.